VASP calculation (PBE) on Tb2PrNdEr4 after structural relaxation.

Lattice parameters (Å, degrees): 13.625 13.259 6.805 90.00 119.96 90.00
Space group C2/c (No. 15)
One atom of each set of equivalent atoms:
Tb  0.000  0.000  0.000
Tb  0.250  0.250  0.000
Pr  0.000  0.500  0.000
Nd  0.250  0.250  0.500
Er  0.000  0.247  0.501
Er  0.247  0.001  0.995

Uncorrected energy   -0.155 Ha/atom
Theoretical density   7.933 g cm⁻³